Record 1
{
  "formula": "Y2SiRuS",
  "functional": "PBE",
  "state": "relaxed",
  "lattice_angstrom": [[5.4156, 0.0000, 0.0000], [0.0000, 5.4156, 0.0000], [0.0000, 0.0000, 4.2615]],
  "species": ["Y", "Y", "Si", "Ru", "S"],
  "frac_coords": [[0.0000, 0.5000, 0.0000], [0.5000, 0.0000, 0.0000], [0.0000, 0.0000, 0.0000], [0.0000, 0.0000, 0.5000], [0.5000, 0.5000, 0.5000]],
  "crystal_system": "tetragonal",
  "dft_energy_ev_per_atom": -6.550,
  "vol_a3_per_atom": 25.00,
  "raw_formation_energy_ev_per_atom": -0.199,
  "density_g_cm3": 4.50,
  "magnetic_moment_mub_per_cell": 0.0
}

=====

Record 2
{
  "formula": "NaPH2",
  "functional": "PBE",
  "state": "relaxed",
  "lattice_angstrom": [[3.1136, -3.2945, 0.0000], [3.1136, 3.2945, 0.0000], [-1.5653, 0.0000, 5.8330]],
  "species": ["Na", "Na", "P", "P", "H", "H", "H", "H"],
  "frac_coords": [[0.2098, 0.7902, 0.7500], [0.7902, 0.2098, 0.2500], [0.2505, 0.7495, 0.2500], [0.7495, 0.2505, 0.7500], [0.2579, 0.4549, 0.1167], [0.4549, 0.2579, 0.6167], [0.5451, 0.7421, 0.3833], [0.7421, 0.5451, 0.8833]],
  "relative_energy_mev_per_atom": 0,
  "crystal_system": "monoclinic",
  "dft_energy_ev_per_atom": -3.570,
  "vol_a3_per_atom": 14.96,
  "density_g_cm3": 1.55,
  "magnetic_moment_mub_per_cell": 0.0
}

=====

Record 3
{
  "formula": "ZnCuSnS4",
  "functional": "PBE",
  "state": "relaxed",
  "lattice_angstrom": [[-3.5116, 3.6416, 5.5004], [3.5116, -3.6416, 5.5004], [3.5116, 3.6416, -5.5004]],
  "species": ["Zn", "Zn", "Cu", "Cu", "Sn", "Sn", "S", "S", "S", "S", "S", "S", "S", "S"],
  "frac_coords": [[0.4073, 0.1573, 0.2500], [0.5927, 0.8427, 0.7500], [0.0000, 0.0000, 0.5000], [0.0000, 0.5000, 0.0000], [0.0000, 0.5000, 0.5000], [0.5000, 0.5000, 0.0000], [0.2026, 0.7372, 0.4655], [0.2283, 0.2628, 0.9655], [0.2532, 0.2469, 0.4936], [0.2532, 0.7596, 0.0064], [0.7468, 0.2404, 0.9936], [0.7468, 0.7531, 0.5064], [0.7717, 0.7372, 0.0345], [0.7974, 0.2628, 0.5345]],
  "crystal_system": "orthorhombic",
  "dft_energy_ev_per_atom": -4.054,
  "vol_a3_per_atom": 20.10,
  "raw_formation_energy_ev_per_atom": -0.357,
  "density_g_cm3": 4.44,
  "magnetic_moment_mub_per_cell": 0.0
}

=====

Record 4
{
  "formula": "PmHoIr",
  "functional": "PBE",
  "state": "relaxed",
  "lattice_angstrom": [[4.1481, 0.0000, 0.0000], [-2.0741, 3.5924, 0.0000], [0.0000, 0.0000, 6.2198]],
  "species": ["Pm", "Ho", "Ir"],
  "frac_coords": [[0.0000, 0.0000, 0.0000], [0.6667, 0.3333, 0.4586], [0.3333, 0.6667, 0.2401]],
  "relative_energy_mev_per_atom": 102,
  "formation_enthalpy_0k_ev_per_atom": -0.526,
  "crystal_system": "trigonal",
  "dft_energy_ev_per_atom": -6.589,
  "vol_a3_per_atom": 30.90,
  "density_g_cm3": 9.00,
  "magnetic_moment_mub_per_cell": 0.0
}